(i)
This record from the Alexandria database describes Sr5Pt3 at its PBEsol-relaxed geometry. The functional is meta-GGA SCAN.

Results
Symmetry   I4/mcm

abc: 8.985 8.985 8.985
angles: 97.02 97.02 139.08
Atoms (fractional coordinates):
1 Sr 0.084 0.790 0.874
2 Sr 0.210 0.084 0.294
3 Sr 0.250 0.750 0.500
4 Sr 0.290 0.584 0.874
5 Sr 0.416 0.290 0.706
6 Sr 0.584 0.710 0.294
7 Sr 0.710 0.416 0.126
8 Sr 0.750 0.250 0.500
9 Sr 0.790 0.916 0.706
10 Sr 0.916 0.210 0.126
11 Pt 0.155 0.345 0.500
12 Pt 0.250 0.250 0.000
13 Pt 0.345 0.845 0.191
14 Pt 0.655 0.155 0.809
15 Pt 0.750 0.750 0.000
16 Pt 0.845 0.655 0.500


(ii)
This record from the Alexandria database describes Sr5Pt3 at its PBEsol-relaxed geometry. The functional is meta-GGA SCAN.

Results
Symmetry   P6_3/mcm

abc: 8.819 8.819 6.818
angles: 90.00 90.00 120.00
Atoms (fractional coordinates):
1 Sr 0.000 0.264 0.250
2 Sr 0.000 0.736 0.750
3 Sr 0.264 0.000 0.250
4 Sr 0.264 0.264 0.750
5 Sr 0.333 0.667 0.000
6 Sr 0.333 0.667 0.500
7 Sr 0.667 0.333 0.000
8 Sr 0.667 0.333 0.500
9 Sr 0.736 0.000 0.750
10 Sr 0.736 0.736 0.250
11 Pt 0.000 0.389 0.750
12 Pt 0.000 0.611 0.250
13 Pt 0.389 0.000 0.750
14 Pt 0.389 0.389 0.250
15 Pt 0.611 0.000 0.250
16 Pt 0.611 0.611 0.750


Quick one: most stable of them? (ii)


(i)
This record from the Alexandria database describes SrTaPt at its PBEsol-relaxed geometry. The functional is meta-GGA SCAN.

Results
Symmetry   F-43m

abc: 4.689 4.689 4.689
angles: 60.00 60.00 60.00
Atoms (fractional coordinates):
1 Sr 0.000 0.000 0.000
2 Ta 0.500 0.500 0.500
3 Pt 0.250 0.250 0.250


(ii)
This record from the Alexandria database describes SrTaPt at its PBEsol-relaxed geometry. The functional is meta-GGA SCAN.

Results
Symmetry   I4mm

abc: 6.564 6.564 6.564
angles: 149.81 149.81 43.22
Atoms (fractional coordinates):
1 Sr 0.000 0.000 0.000
2 Ta 0.280 0.280 0.000
3 Pt 0.702 0.702 0.000


Quick one: most stable of them? (ii)


(i)
This record from the Alexandria database describes Sr2TaPt at its PBEsol-relaxed geometry. The functional is meta-GGA SCAN.

Results
Symmetry   Immm

abc: 9.406 9.406 9.406
angles: 158.24 156.25 32.43
Atoms (fractional coordinates):
1 Sr 0.151 0.151 0.000
2 Sr 0.849 0.849 0.000
3 Ta 0.500 0.000 0.500
4 Pt 0.000 0.500 0.500


(ii)
This record from the Alexandria database describes Sr2TaPt at its PBEsol-relaxed geometry. The functional is meta-GGA SCAN.

Results
Symmetry   R-3m

abc: 10.334 10.334 10.334
angles: 18.49 18.49 18.49
Atoms (fractional coordinates):
1 Sr 0.242 0.242 0.242
2 Sr 0.758 0.758 0.758
3 Ta 0.000 0.000 0.000
4 Pt 0.500 0.500 0.500


Quick one: most stable of them? (i)


(i)
This record from the Alexandria database describes Sr2TaPt at its PBEsol-relaxed geometry. The functional is meta-GGA SCAN.

Results
Symmetry   Pmmm

abc: 3.096 3.357 9.481
angles: 90.00 90.00 90.00
Atoms (fractional coordinates):
1 Sr 0.000 0.000 0.214
2 Sr 0.000 0.000 0.786
3 Ta 0.500 0.500 0.500
4 Pt 0.500 0.500 0.000


(ii)
This record from the Alexandria database describes Sr2TaPt at its PBEsol-relaxed geometry. The functional is meta-GGA SCAN.

Results
Symmetry   Cmmm

abc: 5.750 5.750 3.173
angles: 90.00 90.00 117.74
Atoms (fractional coordinates):
1 Sr 0.000 0.500 0.000
2 Sr 0.500 0.000 0.000
3 Ta 0.000 0.000 0.500
4 Pt 0.500 0.500 0.500


Quick one: most stable of them? (i)


(i)
This record from the Alexandria database describes SrTcPt2 at its PBEsol-relaxed geometry. The functional is meta-GGA SCAN.

Results
Symmetry   Pmm2

abc: 2.802 4.005 6.665
angles: 90.00 90.00 90.00
Atoms (fractional coordinates):
1 Sr 0.000 0.000 0.000
2 Tc 0.500 0.500 0.341
3 Pt 0.000 0.000 0.484
4 Pt 0.500 0.500 0.724


(ii)
This record from the Alexandria database describes SrTcPt2 at its PBEsol-relaxed geometry. The functional is meta-GGA SCAN.

Results
Symmetry   R3m

abc: 9.906 9.906 9.906
angles: 16.57 16.57 16.57
Atoms (fractional coordinates):
1 Sr 0.000 0.000 0.000
2 Tc 0.762 0.762 0.762
3 Pt 0.244 0.244 0.244
4 Pt 0.499 0.499 0.499


(iii)
This record from the Alexandria database describes SrTcPt2 at its PBEsol-relaxed geometry. The functional is meta-GGA SCAN.

Results
Symmetry   Cm

abc: 4.867 4.867 5.661
angles: 98.22 98.22 34.03
Atoms (fractional coordinates):
1 Sr 0.000 0.000 0.000
2 Tc 0.235 0.235 0.642
3 Pt 0.500 0.500 0.519
4 Pt 0.758 0.758 0.267


Quick one: most stable of them? (iii)


(i)
This record from the Alexandria database describes SrTcPt at its PBEsol-relaxed geometry. The functional is meta-GGA SCAN.

Results
Symmetry   P3m1

abc: 2.945 2.945 7.413
angles: 90.00 90.00 120.00
Atoms (fractional coordinates):
1 Sr 0.000 0.000 0.000
2 Tc 0.333 0.667 0.635
3 Pt 0.667 0.333 0.360


(ii)
This record from the Alexandria database describes SrTcPt at its PBEsol-relaxed geometry. The functional is meta-GGA SCAN.

Results
Symmetry   F-43m

abc: 4.487 4.487 4.487
angles: 60.00 60.00 60.00
Atoms (fractional coordinates):
1 Sr 0.000 0.000 0.000
2 Tc 0.750 0.750 0.750
3 Pt 0.500 0.500 0.500


Quick one: most stable of them? (ii)


(i)
This record from the Alexandria database describes Sr2TlPt at its PBEsol-relaxed geometry. The functional is meta-GGA SCAN.

Results
Symmetry   Amm2

abc: 4.563 6.226 6.226
angles: 42.49 90.00 90.00
Atoms (fractional coordinates):
1 Sr 0.000 0.000 0.000
2 Sr 0.500 0.289 0.289
3 Tl 0.500 0.583 0.583
4 Pt 0.000 0.721 0.721


(ii)
This record from the Alexandria database describes Sr2TlPt at its PBEsol-relaxed geometry. The functional is meta-GGA SCAN.

Results
Symmetry   P4/mmm

abc: 3.740 3.740 7.909
angles: 90.00 90.00 90.00
Atoms (fractional coordinates):
1 Sr 0.000 0.000 0.218
2 Sr 0.000 0.000 0.782
3 Tl 0.500 0.500 0.500
4 Pt 0.500 0.500 0.000


Quick one: most stable of them? (ii)


(i)
This record from the Alexandria database describes Sr2PtW at its PBEsol-relaxed geometry. The functional is meta-GGA SCAN.

Results
Symmetry   P4mm

abc: 3.329 3.329 9.531
angles: 90.00 90.00 90.00
Atoms (fractional coordinates):
1 Sr 0.000 0.000 0.000
2 Sr 0.500 0.500 0.393
3 Pt 0.500 0.500 0.764
4 W 0.000 0.000 0.640


(ii)
This record from the Alexandria database describes Sr2PtW at its PBEsol-relaxed geometry. The functional is meta-GGA SCAN.

Results
Symmetry   P4/mmm

abc: 4.993 4.993 3.927
angles: 90.00 90.00 90.00
Atoms (fractional coordinates):
1 Sr 0.000 0.500 0.000
2 Sr 0.500 0.000 0.000
3 Pt 0.000 0.000 0.500
4 W 0.500 0.500 0.500


(iii)
This record from the Alexandria database describes Sr2PtW at its PBEsol-relaxed geometry. The functional is meta-GGA SCAN.

Results
Symmetry   Amm2

abc: 4.299 6.039 6.039
angles: 47.19 90.00 90.00
Atoms (fractional coordinates):
1 Sr 0.000 0.000 0.000
2 Sr 0.500 0.288 0.288
3 Pt 0.500 0.591 0.591
4 W 0.000 0.691 0.691


(iv)
This record from the Alexandria database describes Sr2PtW at its PBEsol-relaxed geometry. The functional is meta-GGA SCAN.

Results
Symmetry   I4/mmm

abc: 5.678 5.678 5.678
angles: 134.99 134.99 65.54
Atoms (fractional coordinates):
1 Sr 0.250 0.750 0.500
2 Sr 0.750 0.250 0.500
3 Pt 0.000 0.000 0.000
4 W 0.500 0.500 0.000


Quick one: most stable of them? (iii)


(i)
This record from the Alexandria database describes Sr2ZrPt at its PBEsol-relaxed geometry. The functional is meta-GGA SCAN.

Results
Symmetry   P4/mmm

abc: 3.471 3.471 9.374
angles: 90.00 90.00 90.00
Atoms (fractional coordinates):
1 Sr 0.000 0.000 0.196
2 Sr 0.000 0.000 0.804
3 Zr 0.500 0.500 0.500
4 Pt 0.500 0.500 0.000


(ii)
This record from the Alexandria database describes Sr2ZrPt at its PBEsol-relaxed geometry. The functional is meta-GGA SCAN.

Results
Symmetry   I4/mmm

abc: 6.161 6.161 6.161
angles: 139.34 139.34 58.86
Atoms (fractional coordinates):
1 Sr 0.250 0.750 0.500
2 Sr 0.750 0.250 0.500
3 Zr 0.000 0.000 0.000
4 Pt 0.500 0.500 0.000


Quick one: most stable of them? (i)


(i)
This record from the Alexandria database describes TaTcPt2 at its PBEsol-relaxed geometry. The functional is meta-GGA SCAN.

Results
Symmetry   I-4m2

abc: 4.767 4.767 4.767
angles: 130.88 130.88 72.00
Atoms (fractional coordinates):
1 Ta 0.000 0.000 0.000
2 Tc 0.250 0.750 0.500
3 Pt 0.500 0.500 0.000
4 Pt 0.750 0.250 0.500


(ii)
This record from the Alexandria database describes TaTcPt2 at its PBEsol-relaxed geometry. The functional is meta-GGA SCAN.

Results
Symmetry   I4/mmm

abc: 4.897 4.897 4.897
angles: 133.85 133.85 67.33
Atoms (fractional coordinates):
1 Ta 0.000 0.000 0.000
2 Tc 0.500 0.500 0.000
3 Pt 0.250 0.750 0.500
4 Pt 0.750 0.250 0.500


Quick one: most stable of them? (ii)


(i)
This record from the Alexandria database describes TaTcPt2 at its PBEsol-relaxed geometry. The functional is meta-GGA SCAN.

Results
Symmetry   Cmmm

abc: 4.890 4.890 2.727
angles: 90.00 90.00 112.54
Atoms (fractional coordinates):
1 Ta 0.000 0.000 0.000
2 Tc 0.500 0.500 0.000
3 Pt 0.000 0.500 0.500
4 Pt 0.500 0.000 0.500


(ii)
This record from the Alexandria database describes TaTcPt2 at its PBEsol-relaxed geometry. The functional is meta-GGA SCAN.

Results
Symmetry   P4/mmm

abc: 3.835 3.835 4.076
angles: 90.00 90.00 90.00
Atoms (fractional coordinates):
1 Ta 0.000 0.000 0.000
2 Tc 0.500 0.500 0.000
3 Pt 0.000 0.500 0.500
4 Pt 0.500 0.000 0.500


Quick one: most stable of them? (ii)


(i)
This record from the Alexandria database describes TaTl2Pt at its PBEsol-relaxed geometry. The functional is meta-GGA SCAN.

Results
Symmetry   I-4m2

abc: 5.357 5.357 5.357
angles: 134.50 134.50 66.30
Atoms (fractional coordinates):
1 Ta 0.000 0.000 0.000
2 Tl 0.500 0.500 0.000
3 Tl 0.750 0.250 0.500
4 Pt 0.250 0.750 0.500


(ii)
This record from the Alexandria database describes TaTl2Pt at its PBEsol-relaxed geometry. The functional is meta-GGA SCAN.

Results
Symmetry   I4/mmm

abc: 5.488 5.488 5.488
angles: 136.00 136.00 63.98
Atoms (fractional coordinates):
1 Ta 0.000 0.000 0.000
2 Tl 0.250 0.750 0.500
3 Tl 0.750 0.250 0.500
4 Pt 0.500 0.500 0.000


(iii)
This record from the Alexandria database describes TaTl2Pt at its PBEsol-relaxed geometry. The functional is meta-GGA SCAN.

Results
Symmetry   Fm-3m

abc: 4.774 4.774 4.774
angles: 60.00 60.00 60.00
Atoms (fractional coordinates):
1 Ta 0.000 0.000 0.000
2 Tl 0.250 0.250 0.250
3 Tl 0.750 0.750 0.750
4 Pt 0.500 0.500 0.500


(iv)
This record from the Alexandria database describes TaTl2Pt at its PBEsol-relaxed geometry. The functional is meta-GGA SCAN.

Results
Symmetry   R3m

abc: 9.966 9.966 9.966
angles: 17.96 17.96 17.96
Atoms (fractional coordinates):
1 Ta 0.000 0.000 0.000
2 Tl 0.517 0.517 0.517
3 Tl 0.753 0.753 0.753
4 Pt 0.266 0.266 0.266


Quick one: most stable of them? (iv)